# 1
Crystalline Si4IrCl at its relaxed geometry, computed with PBE.

energy relative to the elements, uncorrected = 0.7231 eV/atom
crystal system = cubic
space-group type = F-43m (216)
E = -4.677 eV/atom

Cell lengths 5.131, 5.131, 5.131 Å; angles 60.00, 60.00, 60.00 degrees
Positions (direct):
Cl: 0.750 0.750 0.750
Si: 0.376 0.873 0.376
Si: 0.873 0.376 0.376
Si: 0.376 0.376 0.873
Si: 0.376 0.376 0.376
Ir: 0.000 0.000 0.000

# 2
Crystalline K3Hg7Au2 at its relaxed geometry, computed with PBE.

ΔH_f (0 K) = -2.473 eV per formula unit
crystal system = trigonal
space-group type = R-3m (166)
E = -1.203 eV/atom

Cell lengths 6.370, 6.370, 10.602 Å; angles 72.52, 72.52, 60.00 degrees
Positions (direct):
K: 0.145 0.145 0.566
K: 0.855 0.855 0.434
K: 0.000 0.000 0.000
Hg: 0.927 0.418 0.237
Hg: 0.418 0.418 0.237
Hg: 0.582 0.582 0.763
Hg: 0.582 0.073 0.763
Hg: 0.418 0.927 0.237
Hg: 0.073 0.582 0.763
Hg: 0.500 0.500 0.500
Au: 0.334 0.334 0.997
Au: 0.666 0.666 0.003

# 3
Crystalline LuMgPaRe at its relaxed geometry, computed with PBE.

ΔH_f (0 K) = 0.436 eV per formula unit
crystal system = cubic
space-group type = F-43m (216)
E = -6.906 eV/atom

Cell lengths 4.973, 4.973, 4.973 Å; angles 60.00, 60.00, 60.00 degrees
Positions (direct):
Re: 0.500 0.500 0.500
Pa: 0.250 0.250 0.250
Mg: 0.000 0.000 0.000
Lu: 0.750 0.750 0.750

# 4
Crystalline Te2AsAuI at its relaxed geometry, computed with PBE.

energy relative to the elements, uncorrected = 0.6940 eV/atom
crystal system = tetragonal
space-group type = P4/mmm (123)
E = -2.458 eV/atom
ΔE to the lowest computed polymorph = 0.000 eV/atom

Cell lengths 5.511, 5.511, 5.468 Å; angles 90.00, 90.00, 90.00 degrees
Positions (direct):
I: 0.000 0.000 0.500
Au: 0.500 0.500 0.500
Te: 0.500 0.000 0.000
Te: 0.000 0.500 0.000
As: 0.000 0.000 0.000

E of number 1 (Si4IrCl)?
-4.677 eV/atom